No. 1
First-principles (GGA-PBE) data for an optimized crystal structure of MnCoNiMo, as listed in the Alexandria database.

## Properties
space-group type = F-43m, No. 216
energy of formation = 0.0999 eV/atom

abc: 4.106 4.106 4.106
angles: 60.00 60.00 60.00
Fractional positions:
Ni 0.250 0.250 0.250
Mo 0.750 0.750 0.750
Mn 0.500 0.500 0.500
Co 0.000 0.000 0.000

No. 2
First-principles (GGA-PBE) data for an optimized crystal structure of La3ErGe2, as listed in the Alexandria database.

## Properties
space-group type = Immm, No. 71
energy of formation = -0.6200 eV/atom

abc: 4.485 4.697 8.959
angles: 105.16 104.51 89.99
Fractional positions:
La 0.500 0.500 0.000
La 0.818 0.319 0.637
La 0.182 0.681 0.363
Er 0.000 0.000 0.000
Ge 0.369 0.870 0.740
Ge 0.631 0.130 0.260

No. 3
First-principles (GGA-PBE) data for an optimized crystal structure of PuBeCo, as listed in the Alexandria database.

## Properties
space-group type = I4/mmm, No. 139
energy above the most stable polymorph in this dataset = 0.169 eV per atom
energy of formation = 0.2161 eV/atom

abc: 3.255 3.255 7.539
angles: 102.47 102.47 90.00
Fractional positions:
Co 0.095 0.095 0.190
Co 0.905 0.905 0.810
Be 0.000 0.500 0.000
Be 0.500 0.000 0.000
Pu 0.711 0.711 0.421
Pu 0.289 0.289 0.579

No. 4
First-principles (GGA-PBE) data for an optimized crystal structure of ReSbRu2, as listed in the Alexandria database.

## Properties
space-group type = I4/mmm, No. 139
E_form (uncorrected) = 0.248 eV/atom

abc: 4.781 4.781 4.781
angles: 130.22 130.22 73.05
Fractional positions:
Re 0.750 0.250 0.500
Ru 0.000 0.000 0.000
Ru 0.500 0.500 0.000
Sb 0.250 0.750 0.500

No. 5
First-principles (GGA-PBE) data for an optimized crystal structure of Na3TlB, as listed in the Alexandria database.

## Properties
space-group type = Pm-3m, No. 221
energy above the most stable polymorph in this dataset = 0.000 eV per atom
energy of formation = 0.6465 eV/atom

abc: 5.195 5.195 5.195
angles: 90.00 90.00 90.00
Fractional positions:
Na 0.000 0.500 0.000
Na 0.000 0.000 0.500
Na 0.500 0.000 0.000
Tl 0.500 0.500 0.500
B 0.000 0.000 0.000

No. 6
First-principles (GGA-PBE) data for an optimized crystal structure of Ga7TcNi4, as listed in the Alexandria database.

## Properties
space-group type = C2/m, No. 12
energy of formation = -0.0040 eV/atom

abc: 4.560 7.243 6.175
angles: 78.20 68.33 71.65
Fractional positions:
Ga 0.795 0.875 0.534
Ga 0.205 0.125 0.466
Ga 0.081 0.649 0.189
Ga 0.919 0.351 0.811
Ga 0.340 0.606 0.713
Ga 0.500 0.000 0.000
Ga 0.660 0.394 0.287
Tc 0.000 0.000 0.000
Ni 0.558 0.220 0.664
Ni 0.442 0.780 0.336
Ni 0.707 0.668 0.919
Ni 0.293 0.332 0.081

No. 7
First-principles (GGA-PBE) data for an optimized crystal structure of Ca2GdBi, as listed in the Alexandria database.

## Properties
space-group type = P4/mmm, No. 123
energy of formation = -0.3652 eV/atom

abc: 5.164 4.978 4.978
angles: 90.00 90.00 90.00
Fractional positions:
Ca 0.000 0.000 0.500
Ca 0.000 0.500 0.000
Gd 0.500 0.000 0.000
Bi 0.500 0.500 0.500

No. 8
First-principles (GGA-PBE) data for an optimized crystal structure of CaLuMgAl, as listed in the Alexandria database.

## Properties
space-group type = F-43m, No. 216
energy of formation = -0.1703 eV/atom

abc: 5.234 5.234 5.234
angles: 60.00 60.00 60.00
Fractional positions:
Mg 0.750 0.750 0.750
Ca 0.000 0.000 0.000
Lu 0.500 0.500 0.500
Al 0.250 0.250 0.250

No. 9
First-principles (GGA-PBE) data for an optimized crystal structure of MgOsNO2, as listed in the Alexandria database.

## Properties
space-group type = P4/mmm, No. 123
E_form (uncorrected) = 0.821 eV/atom

abc: 3.684 3.684 3.976
angles: 90.00 90.00 90.00
Fractional positions:
Mg 0.000 0.000 0.000
Os 0.500 0.500 0.500
O 0.000 0.500 0.000
O 0.500 0.000 0.000
N 0.000 0.000 0.500

No. 10
First-principles (GGA-PBE) data for an optimized crystal structure of MnFeSn3, as listed in the Alexandria database.

## Properties
space-group type = Pm-3m, No. 221
energy above the most stable polymorph in this dataset = 0.205 eV per atom
energy of formation = 0.6929 eV/atom

abc: 4.864 4.864 4.864
angles: 90.00 90.00 90.00
Fractional positions:
Mn 0.000 0.000 0.000
Sn 0.000 0.500 0.000
Sn 0.000 0.000 0.500
Sn 0.500 0.000 0.000
Fe 0.500 0.500 0.500

No. 11
First-principles (GGA-PBE) data for an optimized crystal structure of Ce3DyS4, as listed in the Alexandria database.

## Properties
space-group type = Pm-3m, No. 221
E_form (uncorrected) = -2.036 eV/atom

abc: 5.632 5.632 5.632
angles: 90.00 90.00 90.00
Fractional positions:
S 0.500 0.000 0.000
S 0.000 0.500 0.000
S 0.000 0.000 0.500
S 0.500 0.500 0.500
Ce 0.000 0.500 0.500
Ce 0.500 0.000 0.500
Ce 0.500 0.500 0.000
Dy 0.000 0.000 0.000

No. 12
First-principles (GGA-PBE) data for an optimized crystal structure of MnOsCl6, as listed in the Alexandria database.

## Properties
space-group type = C2/c, No. 15
E_form (uncorrected) = -0.590 eV/atom

abc: 6.584 6.584 10.562
angles: 89.43 89.43 77.07
Fractional positions:
Mn 0.984 0.016 0.250
Mn 0.016 0.984 0.750
Os 0.000 0.500 0.500
Os 0.500 0.000 0.000
Cl 0.138 0.781 0.415
Cl 0.862 0.219 0.585
Cl 0.219 0.862 0.085
Cl 0.781 0.138 0.915
Cl 0.970 0.376 0.289
Cl 0.030 0.624 0.711
Cl 0.624 0.030 0.211
Cl 0.376 0.970 0.789
Cl 0.301 0.328 0.011
Cl 0.699 0.672 0.989
Cl 0.672 0.699 0.489
Cl 0.328 0.301 0.511

Let's list M_tot in order: 2.221 0.592 0.000 0.000 1.035 0.000 8.036 0.000 1.896 3.000 0.026 14.085 μB/cell.